No. 1
PuInPb: optimized geometry, PBE.

Cell lengths 6.9529, 6.9529, 6.9529 Å; angles 150.10, 150.10, 42.80 degrees
With the nearest neighbours (Å) after each atom.
Fractional coordinates of all 3 atoms:
Pu: 0.0000 0.0000 0.0000  4 In 3.33, 4 Pb 3.42, 4 Pu 3.59
In: 0.6662 0.6662 0.0000  4 Pb 3.25, 4 Pu 3.33, 4 In 3.59
Pb: 0.3226 0.3226 0.0000  4 In 3.25, 4 Pu 3.42, 4 Pb 3.59

The formation energy comes out at -0.054 eV per atom. The density of states at the Fermi level comes out at 6.7 states/eV per cell.

No. 2
PuInPb: optimized geometry, PBE.

Cell lengths 5.4333, 5.4333, 3.2206 Å; angles 90.00, 90.00, 120.00 degrees
With the nearest neighbours (Å) after each atom.
Fractional coordinates of all 3 atoms:
Pu: 0.0000 0.0000 0.0000  2 Pu 3.22, 6 Pb 3.52-3.53, 6 In 3.52-3.53
In: 0.3333 0.6667 0.4988  3 Pb 3.14, 2 In 3.22
Pb: 0.6667 0.3333 0.5013  3 In 3.14, 2 Pb 3.22

The formation energy comes out at -0.074 eV per atom. The density of states at the Fermi level comes out at 9.3 states/eV per cell.